No. 1
SrVAsSe2 after structural relaxation. Source: Alexandria via LeMat-Bulk, functional PBE.

Geometry as CIF:
```
data_SrVAsSe2
_chemical_formula_sum 'Sr1 V1 As1 Se2'
_space_group_name_H-M_alt 'P 4/m m m'
_space_group_IT_number 123
_space_group_name_Hall '-P 4 2'
_cell_length_a 5.0201
_cell_length_b 5.0201
_cell_length_c 4.7366
_cell_angle_alpha 90.00
_cell_angle_beta 90.00
_cell_angle_gamma 90.00
loop_
_atom_site_label
_atom_site_fract_x
_atom_site_fract_y
_atom_site_fract_z
Sr1 0.0000 0.0000 0.0000
V1 0.5000 0.5000 0.5000
As1 0.5000 0.5000 0.0000
Se1 0.0000 0.5000 0.5000
```

Excess energy over the best structure of this formula in the dataset in meV per atom: 0
N(E_F) in states/eV per atom: 0.72
Magnetization in μB per formula unit: 0.00
Formation energy (no corrections) in eV per formula unit: -3.7

No. 2
Ho2ErTmTh after structural relaxation. Source: Alexandria via LeMat-Bulk, functional PBE.

Geometry as CIF:
```
data_Ho2ErTmTh
_chemical_formula_sum 'Ho4 Er2 Tm2 Th2'
_space_group_name_H-M_alt 'P 1 2/c 1'
_space_group_IT_number 13
_cell_length_a 8.4194
_cell_length_b 6.2944
_cell_length_c 6.2713
_cell_angle_alpha 90.00
_cell_angle_beta 96.43
_cell_angle_gamma 90.00
loop_
_space_group_symop_operation_xyz
'x,y,z'
'-x,-y,-z'
'-x,y,-z+1/2'
'x,-y,z+1/2'
loop_
_atom_site_label
_atom_site_fract_x
_atom_site_fract_y
_atom_site_fract_z
Ho1 0.1884 0.2023 0.2833
Er1 0.0000 0.3141 0.7500
Tm1 0.5000 0.5000 0.0000
Th1 0.5000 0.0538 0.7500
```

N(E_F) in states/eV per atom: 1.22
E_form in meV per atom: 339
Magnetization in μB per formula unit: 0.00

No. 3
La2YCl after structural relaxation. Source: Alexandria via LeMat-Bulk, functional PBE.

Geometry as CIF:
```
data_La2YCl
_chemical_formula_sum 'La8 Y4 Cl4'
_space_group_name_H-M_alt 'F -4 3 m'
_space_group_IT_number 216
_space_group_name_Hall 'F -4 2 3'
_cell_length_a 7.9739
_cell_length_b 7.9739
_cell_length_c 7.9739
_cell_angle_alpha 90.00
_cell_angle_beta 90.00
_cell_angle_gamma 90.00
loop_
_atom_site_label
_atom_site_fract_x
_atom_site_fract_y
_atom_site_fract_z
La1 0.0000 0.0000 0.0000
La2 0.2500 0.2500 0.2500
Y1 0.0000 0.0000 0.5000
Cl1 0.2500 0.2500 0.7500
```

Excess energy over the best structure of this formula in the dataset in meV per atom: 689
N(E_F) in states/eV per atom: 1.78
Magnetization in μB per formula unit: 0.00
Formation energy (no corrections) in eV per formula unit: 0.0

No. 4
AsIrSe2I after structural relaxation. Source: Alexandria via LeMat-Bulk, functional PBE.

Geometry as CIF:
```
data_AsIrSe2I
_chemical_formula_sum 'As1 Ir1 Se2 I1'
_space_group_name_H-M_alt 'P 4/m m m'
_space_group_IT_number 123
_space_group_name_Hall '-P 4 2'
_cell_length_a 5.1081
_cell_length_b 5.1081
_cell_length_c 4.6935
_cell_angle_alpha 90.00
_cell_angle_beta 90.00
_cell_angle_gamma 90.00
loop_
_atom_site_label
_atom_site_fract_x
_atom_site_fract_y
_atom_site_fract_z
As1 0.0000 0.0000 0.0000
Ir1 0.0000 0.0000 0.5000
Se1 0.0000 0.5000 0.5000
I1 0.5000 0.5000 0.0000
```

Excess energy over the best structure of this formula in the dataset in meV per atom: 0
N(E_F) in states/eV per atom: 1.08
Magnetization in μB per formula unit: 0.00
Formation energy (no corrections) in eV per formula unit: 2.4

No. 5
PrEr5Tl4 after structural relaxation. Source: Alexandria via LeMat-Bulk, functional PBE.

Geometry as CIF:
```
data_PrEr5Tl4
_chemical_formula_sum 'Pr1 Er5 Tl4'
_space_group_name_H-M_alt 'P 4/m m m'
_space_group_IT_number 123
_space_group_name_Hall '-P 4 2'
_cell_length_a 3.5902
_cell_length_b 3.5902
_cell_length_c 21.8347
_cell_angle_alpha 90.00
_cell_angle_beta 90.00
_cell_angle_gamma 90.00
loop_
_atom_site_label
_atom_site_fract_x
_atom_site_fract_y
_atom_site_fract_z
Pr1 0.0000 0.0000 0.0000
Er1 0.5000 0.5000 0.1182
Er2 0.5000 0.5000 0.3086
Er3 0.5000 0.5000 0.5000
Tl1 0.0000 0.0000 0.2131
Tl2 0.0000 0.0000 0.4045
```

N(E_F) in states/eV per atom: 0.85
E_form in meV per atom: -254
Magnetization in μB per formula unit: 0.21

No. 6
Pm2AlIr after structural relaxation. Source: Alexandria via LeMat-Bulk, functional PBE.

Geometry as CIF:
```
data_Pm2AlIr
_chemical_formula_sum 'Pm8 Al4 Ir4'
_space_group_name_H-M_alt 'F m -3 m'
_space_group_IT_number 225
_space_group_name_Hall '-F 4 2 3'
_cell_length_a 7.2265
_cell_length_b 7.2265
_cell_length_c 7.2265
_cell_angle_alpha 90.00
_cell_angle_beta 90.00
_cell_angle_gamma 90.00
loop_
_atom_site_label
_atom_site_fract_x
_atom_site_fract_y
_atom_site_fract_z
Pm1 0.2500 0.2500 0.2500
Al1 0.0000 0.0000 0.0000
Ir1 0.0000 0.0000 0.5000
```

Excess energy over the best structure of this formula in the dataset in meV per atom: 185
N(E_F) in states/eV per atom: 0.87
E_form in meV per atom: -414
Magnetization in μB per formula unit: 0.00

No. 7
KGaGe after structural relaxation. Source: Alexandria via LeMat-Bulk, functional PBE.

Geometry as CIF:
```
data_KGaGe
_chemical_formula_sum 'K2 Ga2 Ge2'
_space_group_name_H-M_alt 'P 1'
_space_group_IT_number 1
_cell_length_a 4.3273
_cell_length_b 6.1090
_cell_length_c 7.0092
_cell_angle_alpha 94.44
_cell_angle_beta 106.45
_cell_angle_gamma 109.19
loop_
_space_group_symop_operation_xyz
'x,y,z'
loop_
_atom_site_label
_atom_site_fract_x
_atom_site_fract_y
_atom_site_fract_z
K1 0.0000 0.0000 0.0000
K2 0.4563 0.5716 0.3026
Ga1 0.2778 0.9895 0.5973
Ga2 0.6506 0.3999 0.8277
Ge1 0.1793 0.5817 0.7083
Ge2 0.8076 0.1711 0.4699
```

N(E_F) in states/eV per atom: 0.26
E_form in meV per atom: -147
Magnetization in μB per formula unit: 0.00

No. 8
Al2GaFe7Si2 after structural relaxation. Source: Alexandria via LeMat-Bulk, functional PBE.

Geometry as CIF:
```
data_Al2GaFe7Si2
_chemical_formula_sum 'Al4 Ga2 Fe14 Si4'
_space_group_name_H-M_alt 'C 1 2/m 1'
_space_group_IT_number 12
_cell_length_a 4.9518
_cell_length_b 4.9522
_cell_length_c 12.8902
_cell_angle_alpha 90.00
_cell_angle_beta 101.04
_cell_angle_gamma 90.00
loop_
_space_group_symop_operation_xyz
'x,y,z'
'-x,-y,-z'
'-x,y,-z'
'x,-y,z'
'x+1/2,y+1/2,z'
'-x+1/2,-y+1/2,-z'
'-x+1/2,y+1/2,-z'
'x+1/2,-y+1/2,z'
loop_
_atom_site_label
_atom_site_fract_x
_atom_site_fract_y
_atom_site_fract_z
Al1 0.1722 0.0000 0.3455
Ga1 0.0000 0.5000 0.0000
Fe1 0.0000 0.0000 0.0000
Fe2 0.1745 0.2501 0.8466
Fe3 0.2285 0.5000 0.4560
Si1 0.1378 0.5000 0.2771
```

N(E_F) in states/eV per atom: 0.67
Magnetization in μB per formula unit: 5.31
Formation energy (no corrections) in eV per formula unit: -0.7

No. 9
AcIO after structural relaxation. Source: Alexandria via LeMat-Bulk, functional PBE.

Geometry as CIF:
```
data_AcIO
_chemical_formula_sum 'Ac2 I2 O2'
_space_group_name_H-M_alt 'C 1 m 1'
_space_group_IT_number 8
_cell_length_a 7.2492
_cell_length_b 4.1858
_cell_length_c 6.5042
_cell_angle_alpha 90.00
_cell_angle_beta 111.88
_cell_angle_gamma 90.00
loop_
_space_group_symop_operation_xyz
'x,y,z'
'x,-y,z'
'x+1/2,y+1/2,z'
'x+1/2,-y+1/2,z'
loop_
_atom_site_label
_atom_site_fract_x
_atom_site_fract_y
_atom_site_fract_z
Ac1 0.0000 0.0000 0.0000
I1 0.1942 0.0000 0.5837
O1 0.1841 0.5000 0.0522
```

N(E_F) in states/eV per atom: 0.00
Magnetization in μB per formula unit: 0.00
Formation energy (no corrections) in eV per formula unit: -7.6